# Ba3NaCl, optimized geometry, DFT PBE-GGA
# Energy above the lowest structure with this stoichiometry ... 0 meV/atom
# Formation energy without anion corrections ... -295 kJ/mol of formula units
# Density of states at the Fermi level ... 7.947 states/eV/cell
# Uncorrected energy ... -2.398 eV per atom
data_Ba3NaCl
_chemical_formula_sum 'Ba3 Na1 Cl1'
_cell_length_a 6.325
_cell_length_b 6.325
_cell_length_c 6.325
_cell_angle_alpha 90.00
_cell_angle_beta 90.00
_cell_angle_gamma 90.00
_symmetry_space_group_name_H-M 'P m -3 m'
_symmetry_Int_Tables_number 221
_symmetry_space_group_name_Hall '-P 4 2 3'
loop_
_atom_site_label
_atom_site_type_symbol
_atom_site_fract_x
_atom_site_fract_y
_atom_site_fract_z
Ba1 Ba 0.000 0.000 0.500
Na1 Na 0.500 0.500 0.500
Cl1 Cl 0.000 0.000 0.000